No. 1
Li3CuBi2 after structural relaxation, computed with PBE.

Summary:
E_form ... -0.2743 eV per atom
V ... 487 Å³ per cell
Electronic total energy ... -3.21 eV/atom

abc: 5.9470 13.7229 5.9646
angles: 90.00 90.00 90.00
Last column: nearest neighbours and their distance in Å.
Space group Ibam (No. 72)
One atom of each set of equivalent atoms:
Li1 0.0000 0.0000 0.2500 (multiplicity 4)  4 Bi 2.85, 6 Li 2.93-2.98, 2 Cu 2.97
Li2 0.2473 0.3525 0.0000 (multiplicity 8)  5 Bi 2.91-3.05, 2 Cu 2.91, 2 Li 2.93
Cu1 0.0000 0.5000 0.2500 (multiplicity 4)  4 Bi 2.80, 6 Li 2.91-2.97, 2 Cu 2.98
Bi1 0.2410 0.3629 0.5000 (multiplicity 8)  2 Cu 2.80, 7 Li 2.85-3.05

No. 2
LiCuBi after structural relaxation, computed with PBE.

Summary:
E_form ... -0.0748 eV per atom
V ... 115 Å³ per cell
Electronic total energy ... -3.37 eV/atom

abc: 3.7379 3.7379 8.2447
angles: 90.00 90.00 90.00
Last column: nearest neighbours and their distance in Å.
Space group I4mm (No. 107)
One atom of each set of equivalent atoms:
Li1 0.0000 0.0000 0.0000 (multiplicity 2)  5 Bi 2.71-3.00, 5 Cu 2.74-2.98
Cu1 0.0000 0.0000 0.6674 (multiplicity 2)  5 Li 2.74-2.98, 5 Bi 2.79-2.96
Bi1 0.0000 0.0000 0.3290 (multiplicity 2)  5 Li 2.71-3.00, 5 Cu 2.79-2.96

No. 3
Li2Cu2Bi after structural relaxation, computed with PBE.

Summary:
E_form ... -0.0391 eV per atom
V ... 189 Å³ per cell
Electronic total energy ... -3.22 eV/atom

abc: 3.3617 3.3617 16.7188
angles: 90.00 90.00 90.00
Last column: nearest neighbours and their distance in Å.
Space group I4/mmm (No. 139)
One atom of each set of equivalent atoms:
Li1 0.0000 0.0000 0.1208 (multiplicity 4)  4 Cu 2.74
Cu1 0.0000 0.5000 0.2500 (multiplicity 4)  4 Cu 2.38
Bi1 0.0000 0.0000 0.5000 (multiplicity 2)  8 Li 3.12, 4 Bi 3.36

No. 4
LiCu2Bi2 after structural relaxation, computed with PBE.

Summary:
E_form ... -0.0342 eV per atom
V ... 213 Å³ per cell
Electronic total energy ... -3.61 eV/atom

abc: 3.5472 3.5472 16.8972
angles: 90.00 90.00 90.00
Last column: nearest neighbours and their distance in Å.
Space group I4/mmm (No. 139)
One atom of each set of equivalent atoms:
Li1 0.0000 0.0000 0.0000 (multiplicity 2)  8 Bi 3.20, 4 Li 3.55
Cu1 0.0000 0.5000 0.2500 (multiplicity 4)  4 Cu 2.51
Bi1 0.0000 0.0000 0.3825 (multiplicity 4)  4 Cu 2.86

No. 5
Li8CuBi2 after structural relaxation, computed with PBE.

Summary:
E_form ... -0.3220 eV per atom
V ... 422 Å³ per cell
Electronic total energy ... -2.79 eV/atom

abc: 4.7768 6.3634 13.8786
angles: 90.00 90.00 90.00
Last column: nearest neighbours and their distance in Å.
Space group Immm (No. 71)
One atom of each set of equivalent atoms:
Li1 0.0000 0.0000 0.1803 (multiplicity 4)  8 Li 2.86-2.95, 4 Bi 3.12-3.18
Li2 0.0000 0.2418 0.3541 (multiplicity 8)  1 Cu 2.61, 1 Li 2.86, 2 Bi 2.87
Li3 0.0000 0.2458 0.0000 (multiplicity 4)  2 Cu 2.85, 2 Bi 2.92, 7 Li 2.95-3.13
Cu1 0.0000 0.5000 0.5000 (multiplicity 2)  8 Li 2.61-2.85
Bi1 0.0000 0.5000 0.1750 (multiplicity 4)  12 Li 2.87-3.18

No. 6
LiCuBi after structural relaxation, computed with PBE.

Summary:
E_form ... -0.0160 eV per atom
V ... 465 Å³ per cell
Electronic total energy ... -3.31 eV/atom

abc: 6.8192 8.7570 7.7788
angles: 90.00 90.00 90.00
Last column: nearest neighbours and their distance in Å.
Space group Cmce (No. 64)
One atom of each set of equivalent atoms:
Li1 0.0000 0.1345 0.0801 (multiplicity 8)  2 Cu 2.56-2.58, 1 Li 2.67
Cu1 0.0000 0.1150 0.4104 (multiplicity 8)  1 Cu 2.45, 2 Li 2.56-2.58
Bi1 0.2500 0.1267 0.7500 (multiplicity 8)  6 Cu 2.99-3.15, 6 Li 3.00-3.14

No. 7
Li2CuBi2 after structural relaxation, computed with PBE.

Summary:
E_form ... -0.1799 eV per atom
V ... 439 Å³ per cell
Electronic total energy ... -3.32 eV/atom

abc: 6.1486 12.4106 5.7580
angles: 90.00 90.00 90.00
Last column: nearest neighbours and their distance in Å.
Space group Ibam (No. 72)
One atom of each set of equivalent atoms:
Li1 0.1693 0.0886 0.0000 (multiplicity 8)  2 Cu 2.72, 1 Li 3.03
Cu1 0.0000 0.5000 0.2500 (multiplicity 4)  4 Li 2.72, 4 Bi 2.73, 2 Cu 2.88
Bi1 0.1846 0.3366 0.0000 (multiplicity 8)  2 Cu 2.73

No. 8
LiCu2Bi2 after structural relaxation, computed with PBE.

Summary:
E_form ... 0.0240 eV per atom
V ... 206 Å³ per cell
Electronic total energy ... -3.55 eV/atom

abc: 7.2619 7.2619 3.9124
angles: 90.00 90.00 90.00
Last column: nearest neighbours and their distance in Å.
Space group P4/mbm (No. 127)
One atom of each set of equivalent atoms:
Li1 0.0000 0.0000 0.0000 (multiplicity 2)  4 Cu 2.89
Cu1 0.1210 0.3790 0.0000 (multiplicity 4)  1 Cu 2.49
Bi1 0.1811 0.6811 0.5000 (multiplicity 4)  6 Cu 2.82-2.97

No. 9
LiCu2Bi2 after structural relaxation, computed with PBE.

Summary:
E_form ... 0.1091 eV per atom
V ... 217 Å³ per cell
Electronic total energy ... -3.46 eV/atom

abc: 7.9530 7.9530 3.4240
angles: 90.00 90.00 90.00
Last column: nearest neighbours and their distance in Å.
Space group P4/mbm (No. 127)
One atom of each set of equivalent atoms:
Li1 0.0000 0.0000 0.0000 (multiplicity 2)  4 Bi 2.93
Cu1 0.1150 0.3850 0.5000 (multiplicity 4)  1 Cu 2.59
Bi1 0.1764 0.6764 0.0000 (multiplicity 4)  6 Cu 2.90-2.92, 2 Li 2.93

No. 10
LiCu2Bi after structural relaxation, computed with PBE.

Summary:
E_form ... 0.2092 eV per atom
V ... 290 Å³ per cell
Electronic total energy ... -3.29 eV/atom

abc: 3.9546 3.9546 18.5287
angles: 90.00 90.00 90.00
Last column: nearest neighbours and their distance in Å.
Space group I-42d (No. 122)
One atom of each set of equivalent atoms:
Li1 0.0000 0.0000 0.0000 (multiplicity 4)  4 Cu 2.67, 4 Bi 2.80
Cu1 0.2264 0.2500 0.1250 (multiplicity 8)  4 Cu 2.67-2.93, 2 Li 2.67, 2 Bi 2.74
Bi1 0.0000 0.0000 0.5000 (multiplicity 4)  4 Cu 2.74, 4 Li 2.80

No. 11
Li2Cu2Bi after structural relaxation, computed with PBE.

Summary:
E_form ... 0.0487 eV per atom
V ... 166 Å³ per cell
Electronic total energy ... -3.13 eV/atom

abc: 7.0629 7.0629 3.3369
angles: 90.00 90.00 90.00
Last column: nearest neighbours and their distance in Å.
Space group P4/mbm (No. 127)
One atom of each set of equivalent atoms:
Li1 0.1394 0.3606 0.0000 (multiplicity 4)  6 Cu 2.55-2.81, 2 Bi 2.73, 1 Li 2.78
Cu1 0.1343 0.6343 0.5000 (multiplicity 4)  6 Li 2.55-2.81, 1 Cu 2.68
Bi1 0.0000 0.0000 0.0000 (multiplicity 2)  4 Li 2.73

No. 12
LiCuBi after structural relaxation, computed with PBE.

Summary:
E_form ... -0.1678 eV per atom
V ... 247 Å³ per cell
Electronic total energy ... -3.46 eV/atom

abc: 6.2717 6.2717 6.2717
angles: 90.00 90.00 90.00
Last column: nearest neighbours and their distance in Å.
Space group F-43m (No. 216)
One atom of each set of equivalent atoms:
Li1 0.0000 0.0000 0.0000 (multiplicity 4)  4 Cu 2.72
Cu1 0.2500 0.2500 0.7500 (multiplicity 4)  4 Li 2.72, 4 Bi 2.72
Bi1 0.0000 0.0000 0.5000 (multiplicity 4)  4 Cu 2.72

No. 13
Li2Cu2Bi after structural relaxation, computed with PBE.

Summary:
E_form ... -0.0760 eV per atom
V ... 170 Å³ per cell
Electronic total energy ... -3.26 eV/atom

abc: 7.0992 7.0992 3.3789
angles: 90.00 90.00 90.00
Last column: nearest neighbours and their distance in Å.
Space group P4/mbm (No. 127)
One atom of each set of equivalent atoms:
Li1 0.1662 0.3338 0.0000 (multiplicity 4)  6 Cu 2.67-2.72
Cu1 0.1210 0.6210 0.5000 (multiplicity 4)  1 Cu 2.43, 4 Li 2.67
Bi1 0.0000 0.0000 0.5000 (multiplicity 2)  4 Cu 2.82, 8 Li 3.14

No. 14
Li2CuBi2 after structural relaxation, computed with PBE.

Summary:
E_form ... -0.1644 eV per atom
V ... 237 Å³ per cell
Electronic total energy ... -3.30 eV/atom

abc: 7.1920 7.1920 4.5759
angles: 90.00 90.00 90.00
Last column: nearest neighbours and their distance in Å.
Space group P4/mbm (No. 127)
One atom of each set of equivalent atoms:
Li1 0.1515 0.3485 0.0000 (multiplicity 4)  6 Bi 3.02-3.18, 1 Li 3.08
Cu1 0.0000 0.0000 0.5000 (multiplicity 2)  4 Bi 2.72
Bi1 0.1553 0.6553 0.5000 (multiplicity 4)  2 Cu 2.72, 2 Li 3.02

No. 15
LiCuBi3 after structural relaxation, computed with PBE.

Summary:
E_form ... 0.2351 eV per atom
V ... 151 Å³ per cell
Electronic total energy ... -3.30 eV/atom

abc: 5.3286 5.3286 5.3286
angles: 90.00 90.00 90.00
Last column: nearest neighbours and their distance in Å.
Space group Pm-3m (No. 221)
One atom of each set of equivalent atoms:
Li1 0.0000 0.0000 0.0000 (multiplicity 1)  12 Bi 3.77
Cu1 0.5000 0.5000 0.5000 (multiplicity 1)  6 Bi 2.66
Bi1 0.0000 0.5000 0.5000 (multiplicity 3)  2 Cu 2.66

No. 16
LiCuBi after structural relaxation, computed with PBE.

Summary:
E_form ... -0.1087 eV per atom
V ... 63 Å³ per cell
Electronic total energy ... -3.41 eV/atom

abc: 4.5866 4.5866 3.4534
angles: 90.00 90.00 120.00
Last column: nearest neighbours and their distance in Å.
Space group P-6m2 (No. 187)
One atom of each set of equivalent atoms:
Li1 0.0000 0.0000 0.0000 (multiplicity 1)  6 Bi 3.16, 6 Cu 3.16, 2 Li 3.45
Cu1 0.6667 0.3333 0.5000 (multiplicity 1)  3 Bi 2.65
Bi1 0.3333 0.6667 0.5000 (multiplicity 1)  3 Cu 2.65

No. 17
Li2CuBi2 after structural relaxation, computed with PBE.

Summary:
E_form ... -0.0207 eV per atom
V ... 210 Å³ per cell
Electronic total energy ... -3.16 eV/atom

abc: 7.9236 7.9236 3.3444
angles: 90.00 90.00 90.00
Last column: nearest neighbours and their distance in Å.
Space group P4/mbm (No. 127)
One atom of each set of equivalent atoms:
Li1 0.1156 0.3844 0.0000 (multiplicity 4)  1 Li 2.59, 2 Bi 2.77
Cu1 0.0000 0.0000 0.0000 (multiplicity 2)  4 Li 3.18, 8 Bi 3.34, 2 Cu 3.34
Bi1 0.1874 0.6874 0.5000 (multiplicity 4)  6 Li 2.77-2.98

No. 18
LiCu2Bi after structural relaxation, computed with PBE.

Summary:
E_form ... 0.0131 eV per atom
V ... 66 Å³ per cell
Electronic total energy ... -3.48 eV/atom

abc: 4.0450 4.0450 4.0618
angles: 90.00 90.00 90.00
Last column: nearest neighbours and their distance in Å.
Space group P4/mmm (No. 123)
One atom of each set of equivalent atoms:
Li1 0.0000 0.0000 0.0000 (multiplicity 1)  4 Bi 2.86, 8 Cu 2.87
Cu1 0.0000 0.5000 0.5000 (multiplicity 2)  4 Cu 2.86, 4 Li 2.87, 4 Bi 2.87
Bi1 0.5000 0.5000 0.0000 (multiplicity 1)  4 Li 2.86, 8 Cu 2.87

No. 19
Li2MgCuBi after structural relaxation, computed with PBE.

Summary:
E_form ... 0.3469 eV per atom
V ... 112 Å³ per cell
Electronic total energy ... -2.33 eV/atom

abc: 4.8721 4.8721 4.6973
angles: 90.00 90.00 90.00
Last column: nearest neighbours and their distance in Å.
Space group P4/mmm (No. 123)
One atom of each set of equivalent atoms:
Li1 0.0000 0.5000 0.0000 (multiplicity 2)  2 Mg 2.44
Mg1 0.0000 0.0000 0.0000 (multiplicity 1)  2 Cu 2.35, 4 Li 2.44
Cu1 0.0000 0.0000 0.5000 (multiplicity 1)  2 Mg 2.35
Bi1 0.5000 0.5000 0.5000 (multiplicity 1)  8 Li 3.38, 4 Cu 3.45

No. 20
NaLiCuBi after structural relaxation, computed with PBE.

Summary:
E_form ... -0.1793 eV per atom
V ... 317 Å³ per cell
Electronic total energy ... -2.98 eV/atom

abc: 6.8164 6.8164 6.8164
angles: 90.00 90.00 90.00
Last column: nearest neighbours and their distance in Å.
Space group F-43m (No. 216)
One atom of each set of equivalent atoms:
Na1 0.0000 0.0000 0.0000 (multiplicity 4)  4 Li 2.95, 4 Cu 2.95
Li1 0.2500 0.2500 0.2500 (multiplicity 4)  4 Na 2.95, 4 Bi 2.95
Cu1 0.2500 0.2500 0.7500 (multiplicity 4)  4 Na 2.95, 4 Bi 2.95
Bi1 0.0000 0.0000 0.5000 (multiplicity 4)  4 Li 2.95, 4 Cu 2.95

No. 21
LiCuNiBi after structural relaxation, computed with PBE.

Summary:
E_form ... -0.0538 eV per atom
V ... 246 Å³ per cell
Electronic total energy ... -3.97 eV/atom

abc: 6.2663 6.2663 6.2663
angles: 90.00 90.00 90.00
Last column: nearest neighbours and their distance in Å.
Space group F-43m (No. 216)
One atom of each set of equivalent atoms:
Li1 0.0000 0.0000 0.0000 (multiplicity 4)  4 Cu 2.71, 4 Bi 2.71
Cu1 0.2500 0.2500 0.7500 (multiplicity 4)  4 Li 2.71, 4 Ni 2.71
Ni1 0.0000 0.0000 0.5000 (multiplicity 4)  4 Bi 2.71, 4 Cu 2.71
Bi1 0.2500 0.2500 0.2500 (multiplicity 4)  4 Li 2.71, 4 Ni 2.71

No. 22
LiCuBiO3 after structural relaxation, computed with PBE.

Summary:
V ... 168 Å³ per cell
Electronic total energy ... -5.27 eV/atom
Raw formation energy ... -1.1383 eV/atom

abc: 6.4993 3.7683 6.9939
angles: 90.00 100.88 90.00
Last column: nearest neighbours and their distance in Å.
Space group P2_1/m (No. 11)
One atom of each set of equivalent atoms:
Li1 0.1370 0.2500 0.3710 (multiplicity 2)  2 O 1.96-1.97
Cu1 0.0698 0.2500 0.8823 (multiplicity 2)  4 O 1.89-1.96
Bi1 0.4097 0.7500 0.6944 (multiplicity 2)  3 O 2.13-2.31
O1 0.0548 0.7500 0.8838 (multiplicity 2)  3 Cu 1.89-1.96, 1 Li 1.97
O2 0.2001 0.2500 0.6558 (multiplicity 2)  1 Cu 1.93, 1 Li 1.96
O3 0.3416 0.7500 0.3847 (multiplicity 2)  1 Bi 2.13, 2 Li 2.30

No. 23
LiCuBiO4 after structural relaxation, computed with PBE.

Summary:
V ... 362 Å³ per cell
Electronic total energy ... -5.25 eV/atom
Raw formation energy ... -1.0056 eV/atom

abc: 5.8680 6.4674 9.5490
angles: 90.00 90.00 90.00
Last column: nearest neighbours and their distance in Å.
Space group Imma (No. 74)
One atom of each set of equivalent atoms:
Li1 0.0000 0.2500 0.1561 (multiplicity 4)  4 O 2.00-2.21
Cu1 0.2500 0.2500 0.7500 (multiplicity 4)  4 O 2.00
Bi1 0.0000 0.0000 0.5000 (multiplicity 4)  6 O 2.17
O1 0.0000 0.0437 0.7255 (multiplicity 8)  2 Cu 2.00, 1 Bi 2.17, 1 Li 2.21
O2 0.2446 0.2500 0.4821 (multiplicity 8)  1 Li 2.00, 2 Bi 2.17

No. 24
LiCu2BiP after structural relaxation, computed with PBE.

Summary:
E_form ... 0.0699 eV per atom
V ... 94 Å³ per cell
Electronic total energy ... -3.81 eV/atom

abc: 4.4249 4.4249 4.7807
angles: 90.00 90.00 90.00
Last column: nearest neighbours and their distance in Å.
Space group P4/mmm (No. 123)
One atom of each set of equivalent atoms:
Li1 0.0000 0.0000 0.0000 (multiplicity 1)  2 P 2.39
Cu1 0.0000 0.5000 0.5000 (multiplicity 2)  2 P 2.21
Bi1 0.5000 0.5000 0.0000 (multiplicity 1)  4 Li 3.13, 8 Cu 3.26
P1 0.0000 0.0000 0.5000 (multiplicity 1)  4 Cu 2.21, 2 Li 2.39

No. 25
LiCuBiPb after structural relaxation, computed with PBE.

Summary:
E_form ... -0.0295 eV per atom
V ... 356 Å³ per cell
Electronic total energy ... -3.43 eV/atom

abc: 7.0895 7.0895 7.0895
angles: 90.00 90.00 90.00
Last column: nearest neighbours and their distance in Å.
Space group F-43m (No. 216)
One atom of each set of equivalent atoms:
Li1 0.0000 0.0000 0.0000 (multiplicity 4)  4 Bi 3.07, 4 Pb 3.07
Cu1 0.0000 0.0000 0.5000 (multiplicity 4)  4 Pb 3.07, 4 Bi 3.07
Bi1 0.2500 0.2500 0.2500 (multiplicity 4)  4 Cu 3.07, 4 Li 3.07
Pb1 0.2500 0.2500 0.7500 (multiplicity 4)  4 Li 3.07, 4 Cu 3.07